Entry from Alexandria via LeMat-Bulk: crystalline BH2Os at its relaxed geometry (PBE).

Cell lengths 3.8968, 3.8968, 7.5362 Å; angles 90.00, 90.00, 90.00 degrees
Last column: nearest neighbours and their distance in Å.
Space group I-42d (No. 122)
Asymmetric unit:
B (0.0000, 0.0000, 0.0000) [4 per cell]  4 H 1.49
H (0.1578, 0.2500, 0.1250) [8 per cell]  2 B 1.49
Os (0.0000, 0.0000, 0.5000) [4 per cell]  4 H 1.90

Values from the calculation:
D(E_F), states/eV per cell: 6.6
Polymorph energy (0 for the lowest one), eV/atom: 0.000

***

Entry from Alexandria via LeMat-Bulk: crystalline BH2Os at its relaxed geometry (PBE).

Cell lengths 4.7526, 4.7526, 4.7526 Å; angles 90.00, 90.00, 90.00 degrees
Last column: nearest neighbours and their distance in Å.
Space group Fm-3m (No. 225)
Asymmetric unit:
B (0.0000, 0.0000, 0.0000) [4 per cell]  8 H 2.06
H (0.2500, 0.2500, 0.2500) [8 per cell]  4 Os 2.06, 4 B 2.06
Os (0.0000, 0.0000, 0.5000) [4 per cell]  8 H 2.06

Values from the calculation:
D(E_F), states/eV per cell: 6.5
Polymorph energy (0 for the lowest one), eV/atom: 0.032

***

Entry from Alexandria via LeMat-Bulk: crystalline B3HOs at its relaxed geometry (PBE).

Cell lengths 4.0855, 4.0855, 4.0855 Å; angles 90.00, 90.00, 90.00 degrees
Last column: nearest neighbours and their distance in Å.
Space group Pm-3m (No. 221)
Asymmetric unit:
B (0.0000, 0.0000, 0.5000) [3 per cell]  2 Os 2.04
H (0.5000, 0.5000, 0.5000) [1 per cell]  12 B 2.89
Os (0.0000, 0.0000, 0.0000) [1 per cell]  6 B 2.04

Values from the calculation:
D(E_F), states/eV per cell: 1.8
Polymorph energy (0 for the lowest one), eV/atom: 0.094

***

Entry from Alexandria via LeMat-Bulk: crystalline B2HOs at its relaxed geometry (PBE).

Cell lengths 5.1194, 5.1194, 5.1194 Å; angles 90.00, 90.00, 90.00 degrees
Last column: nearest neighbours and their distance in Å.
Space group Fm-3m (No. 225)
Asymmetric unit:
B (0.2500, 0.2500, 0.2500) [8 per cell]  4 H 2.22, 4 Os 2.22
H (0.0000, 0.0000, 0.0000) [4 per cell]  8 B 2.22
Os (0.0000, 0.0000, 0.5000) [4 per cell]  8 B 2.22

Values from the calculation:
D(E_F), states/eV per cell: 10.3
Polymorph energy (0 for the lowest one), eV/atom: 0.367

***

Entry from Alexandria via LeMat-Bulk: crystalline B2HOs at its relaxed geometry (PBE).

Cell lengths 3.0936, 3.0936, 13.2883 Å; angles 90.00, 90.00, 90.00 degrees
Last column: nearest neighbours and their distance in Å.
Space group I-42d (No. 122)
Asymmetric unit:
B (0.0994, 0.2500, 0.1250) [8 per cell]  2 B 1.66, 2 H 1.86
H (0.0000, 0.0000, 0.0000) [4 per cell]  4 B 1.86
Os (0.0000, 0.0000, 0.5000) [4 per cell]  4 H 2.19, 4 B 2.21

Values from the calculation:
D(E_F), states/eV per cell: 7.5
Polymorph energy (0 for the lowest one), eV/atom: 0.000

***

Entry from Alexandria via LeMat-Bulk: crystalline B2H6Os at its relaxed geometry (PBE).

Cell lengths 4.0880, 4.0888, 5.3560 Å; angles 72.01, 69.07, 60.52 degrees
Last column: nearest neighbours and their distance in Å.
Space group P-1 (No. 2)
Asymmetric unit:
B (0.0339, 0.0500, 0.1306) [2 per cell]  3 H 1.31-1.33
H (0.1930, 0.7417, 0.2965) [2 per cell]  1 B 1.31
H (0.2243, 0.2398, 0.1230) [2 per cell]  1 B 1.33
H (0.2955, 0.7706, 0.7036) [2 per cell]  1 B 1.31
Os (0.5000, 0.5000, 0.0000) [1 per cell]  6 H 1.75-1.84

Values from the calculation:
D(E_F), states/eV per cell: 0.7
Polymorph energy (0 for the lowest one), eV/atom: 0.000

***

Entry from Alexandria via LeMat-Bulk: crystalline BHOsRu2 at its relaxed geometry (PBE).

Cell lengths 3.7756, 3.7756, 3.7937 Å; angles 90.00, 90.00, 90.00 degrees
Last column: nearest neighbours and their distance in Å.
Space group P4/mmm (No. 123)
Asymmetric unit:
B (0.0000, 0.0000, 0.0000) [1 per cell]  4 Os 2.67, 8 Ru 2.68
H (0.5000, 0.5000, 0.5000) [1 per cell]  4 Ru 1.89, 2 Os 1.90
Os (0.5000, 0.5000, 0.0000) [1 per cell]  2 H 1.90
Ru (0.0000, 0.5000, 0.5000) [2 per cell]  2 H 1.89

Values from the calculation:
DFT total energy, eV/atom: -7.201
D(E_F), states/eV per cell: 5.8

***

Entry from Alexandria via LeMat-Bulk: crystalline B2SbHOs at its relaxed geometry (PBE).

Cell lengths 4.0579, 4.0579, 5.1072 Å; angles 90.00, 90.00, 90.00 degrees
Last column: nearest neighbours and their distance in Å.
Space group P4/mmm (No. 123)
Asymmetric unit:
B (0.0000, 0.5000, 0.0000) [2 per cell]  2 Os 2.03
Sb (0.0000, 0.0000, 0.5000) [1 per cell]  2 Os 2.55
H (0.5000, 0.5000, 0.5000) [1 per cell]  4 Sb 2.87
Os (0.0000, 0.0000, 0.0000) [1 per cell]  4 B 2.03

Values from the calculation:
DFT total energy, eV/atom: -5.482
D(E_F), states/eV per cell: 0.9

***

Entry from Alexandria via LeMat-Bulk: crystalline TaBH2Os at its relaxed geometry (PBE).

Cell lengths 3.2889, 3.2889, 4.5629 Å; angles 90.00, 90.00, 90.00 degrees
Last column: nearest neighbours and their distance in Å.
Space group P4/mmm (No. 123)
Asymmetric unit:
Ta (0.0000, 0.0000, 0.0000) [1 per cell]  4 H 1.64
B (0.0000, 0.0000, 0.5000) [1 per cell]  2 Ta 2.28, 4 Os 2.33
H (0.0000, 0.5000, 0.0000) [2 per cell]  2 Ta 1.64
Os (0.5000, 0.5000, 0.5000) [1 per cell]  4 B 2.33

Values from the calculation:
DFT total energy, eV/atom: -6.656
D(E_F), states/eV per cell: 2.7

***

Entry from Alexandria via LeMat-Bulk: crystalline BPH3 at its relaxed geometry (PBE).

Cell lengths 3.4080, 3.4080, 3.4080 Å; angles 90.00, 90.00, 90.00 degrees
Last column: nearest neighbours and their distance in Å.
Space group Pm-3m (No. 221)
Asymmetric unit:
B (0.0000, 0.0000, 0.0000) [1 per cell]  12 H 2.41
P (0.5000, 0.5000, 0.5000) [1 per cell]  6 H 1.70
H (0.0000, 0.5000, 0.5000) [3 per cell]  2 P 1.70

Values from the calculation:
D(E_F), states/eV per cell: 1.2
Polymorph energy (0 for the lowest one), eV/atom: 1.155

***

Entry from Alexandria via LeMat-Bulk: crystalline BP3H at its relaxed geometry (PBE).

Cell lengths 4.0476, 4.0476, 4.0476 Å; angles 90.00, 90.00, 90.00 degrees
Last column: nearest neighbours and their distance in Å.
Space group Pm-3m (No. 221)
Asymmetric unit:
B (0.0000, 0.0000, 0.0000) [1 per cell]  6 P 2.02
P (0.0000, 0.0000, 0.5000) [3 per cell]  2 B 2.02
H (0.5000, 0.5000, 0.5000) [1 per cell]  12 P 2.86

Values from the calculation:
D(E_F), states/eV per cell: 2.2
Polymorph energy (0 for the lowest one), eV/atom: 0.000

***

Entry from Alexandria via LeMat-Bulk: crystalline B2PH6 at its relaxed geometry (PBE).

Cell lengths 6.3127, 6.3127, 6.3127 Å; angles 90.00, 90.00, 90.00 degrees
Last column: nearest neighbours and their distance in Å.
Space group Fm-3m (No. 225)
Asymmetric unit:
B (0.2500, 0.2500, 0.2500) [8 per cell]  12 H 2.23
P (0.0000, 0.0000, 0.0000) [4 per cell]  6 H 1.53
H (0.0000, 0.0000, 0.2420) [24 per cell]  1 P 1.53

Values from the calculation:
DFT total energy, eV/atom: -3.068
D(E_F), states/eV per cell: 3.9

***

Entry from Alexandria via LeMat-Bulk: crystalline BP2H at its relaxed geometry (PBE).

Cell lengths 4.6037, 4.6037, 8.5836 Å; angles 90.00, 90.00, 90.00 degrees
Last column: nearest neighbours and their distance in Å.
Space group I-42d (No. 122)
Asymmetric unit:
B (0.0000, 0.0000, 0.0000) [4 per cell]  4 P 1.96
P (0.2467, 0.2500, 0.6250) [8 per cell]  2 H 1.94, 2 B 1.96
H (0.0000, 0.0000, 0.5000) [4 per cell]  4 P 1.94

Values from the calculation:
D(E_F), states/eV per cell: 4.8
Polymorph energy (0 for the lowest one), eV/atom: 0.000

***

Entry from Alexandria via LeMat-Bulk: crystalline BP2H5 at its relaxed geometry (PBE).

Cell lengths 4.4686, 4.9898, 5.4958 Å; angles 111.79, 102.42, 102.56 degrees
Last column: nearest neighbours and their distance in Å.
Space group P1 (No. 1)
Asymmetric unit:
B (0.0000, 0.0000, 0.0000) [1 per cell]  2 H 1.21-1.22
P (0.2250, 0.7588, 0.7929) [1 per cell]  2 H 1.42
P (0.6377, 0.0260, 0.7318) [1 per cell]  1 H 1.43
H (0.0206, 0.5373, 0.5245) [1 per cell]  1 P 1.42
H (0.1978, 0.2532, 0.1453) [1 per cell]  1 B 1.22
H (0.3342, 0.5696, 0.9053) [1 per cell]  1 P 1.42
H (0.6018, 0.7738, 0.4802) [1 per cell]  1 P 1.43
H (0.9029, 0.8776, 0.1347) [1 per cell]  1 B 1.21

Values from the calculation:
DFT total energy, eV/atom: -4.354
D(E_F), states/eV per cell: 0.0

***

Entry from Alexandria via LeMat-Bulk: crystalline B2PH at its relaxed geometry (PBE).

Cell lengths 4.9182, 4.9182, 4.9182 Å; angles 90.00, 90.00, 90.00 degrees
Last column: nearest neighbours and their distance in Å.
Space group Fm-3m (No. 225)
Asymmetric unit:
B (0.2500, 0.2500, 0.2500) [8 per cell]  4 H 2.13, 4 P 2.13
P (0.0000, 0.0000, 0.0000) [4 per cell]  8 B 2.13
H (0.0000, 0.0000, 0.5000) [4 per cell]  8 B 2.13

Values from the calculation:
D(E_F), states/eV per cell: 6.1
Polymorph energy (0 for the lowest one), eV/atom: 0.949

***

Entry from Alexandria via LeMat-Bulk: crystalline BPH3 at its relaxed geometry (PBE).

Cell lengths 3.1684, 6.1105, 7.4883 Å; angles 91.23, 95.45, 101.82 degrees
Last column: nearest neighbours and their distance in Å.
Space group P1 (No. 1)
Asymmetric unit:
B (0.0000, 0.0000, 0.0000) [1 per cell]  4 H 1.20-1.30
B (0.4462, 0.8142, 0.0873) [1 per cell]  4 H 1.20-1.30
P (0.1446, 0.2862, 0.5068) [1 per cell]  2 P 2.12
P (0.7486, 0.5100, 0.5764) [1 per cell]  2 P 2.12
H (0.1762, 0.8376, 0.9515) [1 per cell]  2 B 1.29-1.30
H (0.2175, 0.1747, 0.0612) [1 per cell]  1 B 1.20
H (0.3392, 0.8033, 0.2369) [1 per cell]  1 B 1.20
H (0.4982, 0.6396, 0.0259) [1 per cell]  1 B 1.20
H (0.7726, 0.9766, 0.1357) [1 per cell]  2 B 1.29-1.30
H (0.8347, 0.0108, 0.8504) [1 per cell]  1 B 1.20

Values from the calculation:
Polymorph energy (0 for the lowest one), eV/atom: 0.000

***

Entry from Alexandria via LeMat-Bulk: crystalline BPH3 at its relaxed geometry (PBE).

Cell lengths 3.1510, 3.1510, 3.1510 Å; angles 90.00, 90.00, 90.00 degrees
Last column: nearest neighbours and their distance in Å.
Space group Pm-3m (No. 221)
Asymmetric unit:
B (0.0000, 0.0000, 0.0000) [1 per cell]  6 H 1.58
P (0.5000, 0.5000, 0.5000) [1 per cell]  12 H 2.23
H (0.0000, 0.0000, 0.5000) [3 per cell]  2 B 1.58

Values from the calculation:
D(E_F), states/eV per cell: 1.5
Polymorph energy (0 for the lowest one), eV/atom: 1.056

***

Entry from Alexandria via LeMat-Bulk: crystalline BP2H at its relaxed geometry (PBE).

Cell lengths 5.2530, 5.2530, 5.2530 Å; angles 90.00, 90.00, 90.00 degrees
Last column: nearest neighbours and their distance in Å.
Space group Fm-3m (No. 225)
Asymmetric unit:
B (0.0000, 0.0000, 0.0000) [4 per cell]  8 P 2.27
P (0.2500, 0.2500, 0.2500) [8 per cell]  4 H 2.27, 4 B 2.27
H (0.0000, 0.0000, 0.5000) [4 per cell]  8 P 2.27

Values from the calculation:
D(E_F), states/eV per cell: 5.6
Polymorph energy (0 for the lowest one), eV/atom: 0.601

***

Entry from Alexandria via LeMat-Bulk: crystalline B2PH at its relaxed geometry (PBE).

Cell lengths 3.3420, 3.3420, 10.8414 Å; angles 90.00, 90.00, 90.00 degrees
Last column: nearest neighbours and their distance in Å.
Space group I-42d (No. 122)
Asymmetric unit:
B (0.1440, 0.2500, 0.1250) [8 per cell]  2 H 1.66
P (0.0000, 0.0000, 0.5000) [4 per cell]  4 B 1.99
H (0.0000, 0.0000, 0.0000) [4 per cell]  4 B 1.66

Values from the calculation:
D(E_F), states/eV per cell: 0.0
Polymorph energy (0 for the lowest one), eV/atom: 0.000

***

Entry from Alexandria via LeMat-Bulk: crystalline RbB2PH at its relaxed geometry (PBE).

Cell lengths 3.7912, 3.7912, 7.5228 Å; angles 90.00, 90.00, 90.00 degrees
Last column: nearest neighbours and their distance in Å.
Space group P4/mmm (No. 123)
Asymmetric unit:
Rb (0.0000, 0.0000, 0.0000) [1 per cell]  4 H 2.68
B (0.0000, 0.5000, 0.5000) [2 per cell]  2 P 1.90
P (0.0000, 0.0000, 0.5000) [1 per cell]  4 B 1.90
H (0.5000, 0.5000, 0.0000) [1 per cell]  4 Rb 2.68

Values from the calculation:
DFT total energy, eV/atom: -3.577
D(E_F), states/eV per cell: 3.1

***

Values of size of the total moment, in order: 0.000, 0.000, 0.186, 0.000, 0.000, 0.000, 0.259, 0.000, 0.000, 0.000, 0.086, 0.000, 0.000, 0.000, 0.000, 0.000, 0.000, 0.000, 0.000, 0.001, all in μB/atom.